# RbWN2F | Alexandria | PBE+U | relaxed
data_RbWN2F
_chemical_formula_sum 'Rb1 W1 N2 F1'
_space_group_name_H-M_alt 'P 4/m m m'
_space_group_IT_number 123
_space_group_name_Hall '-P 4 2'
_cell_length_a 4.434
_cell_length_b 4.434
_cell_length_c 4.546
_cell_angle_alpha 90.00
_cell_angle_beta 90.00
_cell_angle_gamma 90.00
loop_
_atom_site_label
_atom_site_type_symbol
_atom_site_fract_x
_atom_site_fract_y
_atom_site_fract_z
Rb1 Rb 0.000 0.000 0.000
W1 W 0.500 0.500 0.500
N1 N 0.000 0.500 0.000
F1 F 0.000 0.000 0.500
# **Excess energy over the best structure of this formula in the dataset**: 13.38 eV/f.u.
# **N(E_F)**: 2.09 states/eV/cell
# **Calculated volume**: 89.37 Å³ per cell